A relaxed structure of Zr3V8Re, computed with GGA-PBE.

Summary:
formation energy: -0.149 eV/f.u.
D(E_F): 19.8 states/eV/f.u.
symmetry: R3m, No. 160

Lattice parameters (Å, degrees): 8.9918 8.9918 8.9918 32.83 32.83 32.83
Sites, in units of the cell vectors:
Zr1 0.0000 0.0000 0.0000
Zr2 0.1269 0.1269 0.1269
Zr3 0.6227 0.6227 0.6227
V1 0.0606 0.0606 0.5569
V2 0.0606 0.5569 0.0606
V3 0.0688 0.5644 0.5644
V4 0.3102 0.3102 0.3102
V5 0.5569 0.0606 0.0606
V6 0.5644 0.0688 0.5644
V7 0.5644 0.5644 0.0688
V8 0.8137 0.8137 0.8137
Re1 0.5003 0.5003 0.5003